(1)
RbCaBr3 | PBE | optimized geometry

a = 10.471 Å, b = 10.471 Å, c = 7.454 Å
α = 92.85°, β = 92.85°, γ = 86.72°
Fractional positions:
Rb  0.105  0.302  0.317
Rb  0.302  0.105  0.817
Rb  0.698  0.895  0.183
Rb  0.895  0.698  0.683
Ca  0.255  0.745  0.250
Ca  0.427  0.573  0.750
Ca  0.573  0.427  0.250
Ca  0.745  0.255  0.750
Br  0.004  0.252  0.876
Br  0.187  0.596  0.551
Br  0.252  0.004  0.376
Br  0.320  0.474  0.069
Br  0.404  0.813  0.949
Br  0.474  0.320  0.569
Br  0.526  0.680  0.431
Br  0.596  0.187  0.051
Br  0.680  0.526  0.931
Br  0.748  0.996  0.624
Br  0.813  0.404  0.449
Br  0.996  0.748  0.124

Computed properties:
- Space group: C2/c

=====

(2)
RbCaBr3 | PBE | optimized geometry

a = 9.855 Å, b = 4.413 Å, c = 16.410 Å
α = 90.00°, β = 90.00°, γ = 90.00°
Fractional positions:
Rb  0.068  0.250  0.180
Rb  0.432  0.750  0.680
Rb  0.568  0.250  0.320
Rb  0.932  0.750  0.820
Ca  0.170  0.750  0.446
Ca  0.330  0.250  0.946
Ca  0.670  0.750  0.054
Ca  0.830  0.250  0.554
Br  0.016  0.750  0.601
Br  0.167  0.750  0.011
Br  0.210  0.250  0.790
Br  0.290  0.750  0.290
Br  0.333  0.250  0.511
Br  0.484  0.250  0.101
Br  0.516  0.750  0.899
Br  0.667  0.750  0.489
Br  0.710  0.250  0.710
Br  0.790  0.750  0.210
Br  0.833  0.250  0.989
Br  0.984  0.250  0.399

Computed properties:
- Space group: Pnma

=====

(3)
RbCaBr2 | PBE | optimized geometry

a = 5.769 Å, b = 5.769 Å, c = 5.769 Å
α = 60.00°, β = 60.00°, γ = 60.00°
Fractional positions:
Rb  0.000  0.000  0.000
Ca  0.500  0.500  0.500
Br  0.250  0.250  0.250
Br  0.750  0.750  0.750

Computed properties:
- Space group: Fm-3m
- Energy above the lowest structure with this stoichiometry: 1.110 eV per formula unit

=====

(4)
RbCaBr3 | PBE | optimized geometry

a = 10.471 Å, b = 10.471 Å, c = 7.621 Å
α = 90.07°, β = 90.07°, γ = 77.02°
Fractional positions:
Rb  0.121  0.879  0.750
Rb  0.377  0.623  0.250
Rb  0.623  0.377  0.750
Rb  0.879  0.121  0.250
Ca  0.165  0.335  0.616
Ca  0.335  0.165  0.116
Ca  0.665  0.835  0.884
Ca  0.835  0.665  0.384
Br  0.087  0.192  0.916
Br  0.110  0.612  0.501
Br  0.192  0.087  0.416
Br  0.311  0.413  0.916
Br  0.388  0.890  0.999
Br  0.413  0.311  0.416
Br  0.587  0.689  0.584
Br  0.612  0.110  0.001
Br  0.689  0.587  0.084
Br  0.808  0.913  0.584
Br  0.890  0.388  0.499
Br  0.913  0.808  0.084

Computed properties:
- Space group: C2/c

=====

These records have spin magnetization values of 0.000; 0.000; 0.444; 0.000 μB/f.u., in the order they appear.
These records have energy relative to the elements, uncorrected values of -1.915; -1.944; -1.198; -1.910 eV/atom, in the order they appear.